DFT (GGA-PBE) results for an optimized crystal structure of OsRu2C2.

## Properties
**Formation energy from the elements**: 1.028 eV per atom
**Total magnetic moment**: 0.000 μB/cell

Lattice parameters (Å, degrees): 6.2125 6.2125 2.7905 90.00 90.00 90.00
Space group P4/mbm (No. 127)
Asymmetric unit:
1 Os 0.0000 0.0000 0.0000
2 Ru 0.1505 0.3495 0.5000
3 C 0.1759 0.6759 0.0000